[1]
DFT (PBE) results for a geometry-optimized Ac2MgInS6 structure. Values from VASP.

The structure in Quantum ESPRESSO input format:
```
&SYSTEM
  ibrav = 0, nat = 20, ntyp = 4
/
ATOMIC_SPECIES
Ac 227.00 Ac.upf
Mg 24.30 Mg.upf
In 114.82 In.upf
S 32.06 S.upf
CELL_PARAMETERS angstrom
6.555 0.000 0.000
0.000 7.544 0.000
-6.519 0.000 9.773
ATOMIC_POSITIONS angstrom
Ac -0.271 0.776 2.450
Ac -3.531 2.996 7.337
Ac 3.567 4.548 2.436
Ac 0.307 6.768 7.323
Mg -3.260 0.000 4.887
Mg 0.000 3.772 0.000
In 3.277 0.000 0.000
In 0.018 3.772 4.887
S -5.414 1.397 9.266
S -2.155 2.375 4.379
S -4.402 5.149 9.287
S -1.142 6.167 4.401
S -2.535 0.193 7.303
S 0.725 3.579 2.416
S -0.689 3.965 7.357
S 2.571 7.351 2.470
S 1.178 1.377 5.372
S 4.437 2.395 0.486
S 2.190 5.169 5.394
S 5.450 6.147 0.508
```

Summary:
Calculated total energy = -5.16 eV per atom
Formation energy (no corrections) = -1.426 eV per atom

***

[2]
DFT (PBE) results for a geometry-optimized AcMgSc2In4 structure. Values from VASP.

The structure in Quantum ESPRESSO input format:
```
&SYSTEM
  ibrav = 0, nat = 8, ntyp = 4
/
ATOMIC_SPECIES
Ac 227.00 Ac.upf
Mg 24.30 Mg.upf
Sc 44.96 Sc.upf
In 114.82 In.upf
CELL_PARAMETERS angstrom
2.497 1.442 9.871
-2.497 1.442 9.871
0.000 -2.884 9.871
ATOMIC_POSITIONS angstrom
Ac 0.000 0.000 0.000
Mg 0.000 0.000 14.806
Sc 0.000 0.000 6.860
Sc 0.000 0.000 22.753
In 0.000 0.000 3.767
In 0.000 0.000 11.742
In 0.000 0.000 17.870
In 0.000 0.000 25.846
```

Summary:
Calculated total energy = -3.98 eV per atom
E_form = -0.3115 eV per atom

***

[3]
DFT (PBE) results for a geometry-optimized AcMgInSn structure. Values from VASP.

The structure in Quantum ESPRESSO input format:
```
&SYSTEM
  ibrav = 0, nat = 4, ntyp = 4
/
ATOMIC_SPECIES
Ac 227.00 Ac.upf
Mg 24.30 Mg.upf
In 114.82 In.upf
Sn 118.71 Sn.upf
CELL_PARAMETERS angstrom
0.000 3.889 3.889
3.889 0.000 3.889
3.889 3.889 0.000
ATOMIC_POSITIONS angstrom
Ac 0.000 0.000 0.000
Mg 3.889 3.889 3.889
In 1.945 1.945 1.945
Sn 5.834 5.834 5.834
```

Summary:
Calculated total energy = -3.43 eV per atom
E_form = -0.3177 eV per atom
E above lowest polymorph = 84 meV per atom

***

[4]
DFT (PBE) results for a geometry-optimized AcMgInSn structure. Values from VASP.

The structure in Quantum ESPRESSO input format:
```
&SYSTEM
  ibrav = 0, nat = 4, ntyp = 4
/
ATOMIC_SPECIES
Ac 227.00 Ac.upf
Mg 24.30 Mg.upf
In 114.82 In.upf
Sn 118.71 Sn.upf
CELL_PARAMETERS angstrom
4.747 0.000 0.000
0.000 4.902 0.000
0.000 0.000 5.059
ATOMIC_POSITIONS angstrom
Ac 0.000 0.000 0.000
Mg 0.000 2.451 2.530
In 2.373 0.000 2.530
Sn 2.373 2.451 0.000
```

Summary:
Calculated total energy = -3.51 eV per atom
E_form = -0.4019 eV per atom
E above lowest polymorph = 0 meV per atom

***

[5]
DFT (PBE) results for a geometry-optimized Ac2Mg4InSn3 structure. Values from VASP.

The structure in Quantum ESPRESSO input format:
```
&SYSTEM
  ibrav = 0, nat = 10, ntyp = 4
/
ATOMIC_SPECIES
Ac 227.00 Ac.upf
Mg 24.30 Mg.upf
In 114.82 In.upf
Sn 118.71 Sn.upf
CELL_PARAMETERS angstrom
4.834 0.000 0.000
0.000 4.834 0.000
0.000 0.000 11.925
ATOMIC_POSITIONS angstrom
Ac 0.000 2.417 2.853
Ac 2.417 0.000 9.072
Mg 0.000 0.000 5.963
Mg 0.000 2.417 10.379
Mg 2.417 0.000 1.546
Mg 2.417 2.417 5.963
In 2.417 2.417 0.000
Sn 0.000 0.000 0.000
Sn 0.000 2.417 7.622
Sn 2.417 0.000 4.304
```

Summary:
Calculated total energy = -3.36 eV per atom
E_form = -0.4305 eV per atom

***

[6]
DFT (PBE) results for a geometry-optimized AcTbMgIn structure. Values from VASP.

The structure in Quantum ESPRESSO input format:
```
&SYSTEM
  ibrav = 0, nat = 4, ntyp = 4
/
ATOMIC_SPECIES
Ac 227.00 Ac.upf
Tb 158.93 Tb.upf
Mg 24.30 Mg.upf
In 114.82 In.upf
CELL_PARAMETERS angstrom
0.000 3.950 3.950
3.950 0.000 3.950
3.950 3.950 0.000
ATOMIC_POSITIONS angstrom
Ac 0.000 0.000 0.000
Tb 3.950 3.950 3.950
Mg 1.975 1.975 1.975
In 5.925 5.925 5.925
```

Summary:
Calculated total energy = -3.52 eV per atom
E_form = -0.2563 eV per atom